# K3TaTe2Se2, optimized geometry, DFT GGA-PBE
data_K3TaTe2Se2
_chemical_formula_sum 'K3 Ta1 Te2 Se2'
_cell_length_a 7.565
_cell_length_b 7.034
_cell_length_c 8.372
_cell_angle_alpha 58.05
_cell_angle_beta 52.09
_cell_angle_gamma 69.87
_space_group_name_H-M_alt 'P 1'
_space_group_IT_number 1
loop_
_space_group_symop_operation_xyz
'x,y,z'
loop_
_atom_site_label
_atom_site_type_symbol
_atom_site_fract_x
_atom_site_fract_y
_atom_site_fract_z
K1 K 0.472 0.472 0.528
K2 K 0.557 0.557 0.943
K3 K 0.057 0.057 0.443
Ta1 Ta 0.987 0.987 0.013
Se1 Se 0.977 0.325 0.023
Se2 Se 0.325 0.977 0.675
Te1 Te 0.991 0.635 0.365
Te2 Te 0.635 0.991 0.009
# Magnetic moment ... 0.00 μB/f.u.
# VASP energy ... -36.1 eV for the cell shown

# Ta4Nb2Sb3C3, optimized geometry, DFT GGA-PBE
data_Ta4Nb2Sb3C3
_chemical_formula_sum 'Ta8 Nb4 Sb6 C6'
_cell_length_a 5.850
_cell_length_b 5.850
_cell_length_c 13.420
_cell_angle_alpha 102.55
_cell_angle_beta 102.55
_cell_angle_gamma 59.91
_space_group_name_H-M_alt 'P 1'
_space_group_IT_number 1
loop_
_space_group_symop_operation_xyz
'x,y,z'
loop_
_atom_site_label
_atom_site_type_symbol
_atom_site_fract_x
_atom_site_fract_y
_atom_site_fract_z
C1 C 0.842 0.330 0.500
C2 C 0.500 0.000 0.500
C3 C 0.000 0.500 0.000
C4 C 0.330 0.842 0.000
C5 C 0.670 0.158 0.000
C6 C 0.158 0.670 0.500
Sb1 Sb 0.249 0.416 0.749
Sb2 Sb 0.584 0.751 0.751
Sb3 Sb 0.081 0.919 0.250
Sb4 Sb 0.919 0.081 0.750
Sb5 Sb 0.751 0.584 0.251
Sb6 Sb 0.416 0.249 0.249
Ta1 Ta 0.695 0.856 0.083
Ta2 Ta 0.305 0.144 0.917
Ta3 Ta 0.977 0.801 0.917
Ta4 Ta 0.856 0.695 0.583
Ta5 Ta 0.023 0.199 0.083
Ta6 Ta 0.144 0.305 0.417
Ta7 Ta 0.199 0.023 0.583
Ta8 Ta 0.801 0.977 0.417
Nb1 Nb 0.471 0.633 0.414
Nb2 Nb 0.367 0.529 0.086
Nb3 Nb 0.633 0.471 0.914
Nb4 Nb 0.529 0.367 0.586
# Magnetic moment ... 0.00 μB/f.u.
# VASP energy ... -223.2 eV for the cell shown

# CoCl, optimized geometry, DFT GGA-PBE
data_CoCl
_chemical_formula_sum 'Co1 Cl1'
_cell_length_a 3.205
_cell_length_b 3.206
_cell_length_c 3.385
_cell_angle_alpha 90.00
_cell_angle_beta 90.00
_cell_angle_gamma 120.00
_space_group_name_H-M_alt 'P 1'
_space_group_IT_number 1
loop_
_space_group_symop_operation_xyz
'x,y,z'
loop_
_atom_site_label
_atom_site_type_symbol
_atom_site_fract_x
_atom_site_fract_y
_atom_site_fract_z
Cl1 Cl 0.667 0.333 0.750
Co1 Co 0.333 0.667 0.250
# Magnetic moment ... 0.01 μB/f.u.
# VASP energy ... -7.8 eV for the cell shown

# YTmFe, optimized geometry, DFT GGA-PBE
data_YTmFe
_chemical_formula_sum 'Y1 Tm1 Fe1'
_cell_length_a 4.641
_cell_length_b 4.641
_cell_length_c 4.641
_cell_angle_alpha 60.00
_cell_angle_beta 60.00
_cell_angle_gamma 60.00
_space_group_name_H-M_alt 'P 1'
_space_group_IT_number 1
loop_
_space_group_symop_operation_xyz
'x,y,z'
loop_
_atom_site_label
_atom_site_type_symbol
_atom_site_fract_x
_atom_site_fract_y
_atom_site_fract_z
Y1 Y 0.750 0.750 0.750
Tm1 Tm 0.250 0.250 0.250
Fe1 Fe 0.000 0.000 0.000
# Formation enthalpy at 0 K ... 0.210 eV per atom
# Magnetic moment ... 0.12 μB/f.u.

# PaFeCo, optimized geometry, DFT GGA-PBE
data_PaFeCo
_chemical_formula_sum 'Pa1 Fe1 Co1'
_cell_length_a 4.092
_cell_length_b 4.092
_cell_length_c 4.092
_cell_angle_alpha 60.00
_cell_angle_beta 60.00
_cell_angle_gamma 60.00
_space_group_name_H-M_alt 'P 1'
_space_group_IT_number 1
loop_
_space_group_symop_operation_xyz
'x,y,z'
loop_
_atom_site_label
_atom_site_type_symbol
_atom_site_fract_x
_atom_site_fract_y
_atom_site_fract_z
Fe1 Fe 0.000 0.000 0.000
Co1 Co 0.250 0.250 0.250
Pa1 Pa 0.750 0.750 0.750
# Formation enthalpy at 0 K ... 0.096 eV per atom
# Magnetic moment ... 0.00 μB/f.u.

# AlCdGaTe3S, optimized geometry, DFT GGA-PBE
data_AlCdGaTe3S
_chemical_formula_sum 'Al1 Cd1 Ga1 Te3 S1'
_cell_length_a 6.073
_cell_length_b 6.154
_cell_length_c 7.129
_cell_angle_alpha 115.20
_cell_angle_beta 113.01
_cell_angle_gamma 91.79
_space_group_name_H-M_alt 'P 1'
_space_group_IT_number 1
loop_
_space_group_symop_operation_xyz
'x,y,z'
loop_
_atom_site_label
_atom_site_type_symbol
_atom_site_fract_x
_atom_site_fract_y
_atom_site_fract_z
Te1 Te 0.387 0.921 0.275
Te2 Te 0.885 0.356 0.275
Te3 Te 0.629 0.622 0.716
Ga1 Ga 0.238 0.768 0.512
Al1 Al 0.013 0.008 0.986
Cd1 Cd 0.485 0.482 0.994
S1 S 0.113 0.093 0.742
# VASP energy ... -24.8 eV for the cell shown

What did the third record say?
# CoCl, optimized geometry, DFT GGA-PBE
data_CoCl
_chemical_formula_sum 'Co1 Cl1'
_cell_length_a 3.205
_cell_length_b 3.206
_cell_length_c 3.385
_cell_angle_alpha 90.00
_cell_angle_beta 90.00
_cell_angle_gamma 120.00
_space_group_name_H-M_alt 'P 1'
_space_group_IT_number 1
loop_
_space_group_symop_operation_xyz
'x,y,z'
loop_
_atom_site_label
_atom_site_type_symbol
_atom_site_fract_x
_atom_site_fract_y
_atom_site_fract_z
Cl1 Cl 0.667 0.333 0.750
Co1 Co 0.333 0.667 0.250
# Magnetic moment ... 0.01 μB/f.u.
# VASP energy ... -7.8 eV for the cell shown